Computed, not measured: a relaxed structure of Ta2MoCl at the PBE level of DFT.

a = 3.027 Å, b = 4.355 Å, c = 5.353 Å
α = 90.00°, β = 90.00°, γ = 90.00°
Space group Pmm2 (No. 25)
Unique sites:
Ta 0.000 0.000 0.000
Ta 0.500 0.500 0.240
Mo 0.500 0.500 0.782
Cl 0.000 0.000 0.504

Output
For the density of states at the Fermi level, the calculation gives 2.1 states/eV/f.u. Its calculated total energy is -8.63 eV/atom. The calculation puts the distance to the lowest polymorph of the same formula at 385 meV/atom. The crystal system is orthorhombic. The formation energy (no corrections) is 0.46 eV/atom.